Entry 1:
10
Lattice="-0.9790 1.6102 7.0824 0.1225 -7.1418 1.6407 3.6346 0.1689 0.4640" Properties=species:S:1:pos:R:3 comment="PBE Hf2Ag2Au, optimized geometry" volume_a3_per_atom=19.70 magmom_total_mub_per_fu=0.0 e_form_mev_per_atom=33 sg="No. 127" pbc="T T T"
Hf 1.7326 -4.4285 2.5379
Hf 1.2627 -4.7618 6.3406
Hf 1.0454 -0.9342 6.6492
Hf 1.5154 -0.6009 2.8465
Au 0.0000 0.0000 0.0000
Au -0.4283 -2.7658 4.3615
Ag -0.2549 -5.6123 4.0396
Ag -0.7736 -3.1067 7.1902
Ag -0.6017 0.0808 4.6835
Ag -0.0830 -2.4248 1.5329



Entry 2:
4
Lattice="3.0463 0.0000 0.0000 0.0000 4.3793 0.0000 0.0000 0.0000 5.9283" Properties=species:S:1:pos:R:3 comment="PBE CeZn3, optimized geometry" volume_a3_per_atom=19.77 magmom_total_mub_per_fu=1.0 e_form_mev_per_atom=-51 sg="No. 25" pbc="T T T"
Zn 0.0000 0.0000 5.5786
Zn 1.5231 0.0000 3.3596
Zn 1.5231 2.1897 4.9241
Ce 0.0000 2.1897 1.9464



Entry 3:
18
Lattice="-1.7921 7.2244 3.2716 -10.3561 -1.2599 -2.8907 3.3929 -3.5300 9.6537" Properties=species:S:1:pos:R:3 comment="PBE K5RbHg3, optimized geometry" volume_a3_per_atom=45.84 relative_energy_mev_per_atom=0.0 magmom_total_mub_per_fu=0.0 e_form_mev_per_atom=-137 sg="No. 193" pbc="T T T"
K -5.7731 -2.0167 1.2909
K -2.0861 0.8390 7.1078
K -1.1900 -2.7732 5.4720
K -6.6692 1.5955 2.9267
K -5.9499 2.2498 6.9274
K -10.5514 2.9635 2.8309
K -4.8494 4.9919 1.4752
K -2.8054 0.1847 3.1071
K 1.7961 -0.5290 7.2037
K -7.2988 0.9727 -1.0944
Rb 0.0000 0.0000 0.0000
Rb -0.8961 3.6122 1.6358
Hg -3.6479 3.8332 4.6919
Hg -9.4296 1.7966 6.0221
Hg -8.2724 4.5754 0.5198
Hg -5.1073 -1.3987 5.3426
Hg 0.6743 0.6378 4.0125
Hg -3.8758 1.3891 -0.1389



Entry 4:
8
Lattice="-1.0779 -1.3189 3.7707 3.8782 0.5908 1.3152 -2.9212 11.8265 3.3015" Properties=species:S:1:pos:R:3 comment="PBE BaCdSiIr, optimized geometry" raw_formation_energy_ev_per_fu=-2.30 volume_a3_per_atom=27.01 magmom_total_mub_per_fu=0.0 sg="No. 129" pbc="T T T"
Ba 1.4190 2.2119 4.5844
Ba -1.5399 8.8865 3.8031
Cd 1.1786 6.0266 3.5799
Cd -1.2995 5.0718 4.8076
Si -0.5373 10.1320 6.7954
Si 0.4164 0.9664 1.5921
Ir 0.1612 -0.8415 3.1568
Ir 2.6392 0.1134 1.9291